# TaNb3S8

Crystalline TaNb3S8 at its relaxed geometry (PBE, Alexandria via LeMat-Bulk).

For the formation energy without anion corrections, the calculation gives -12.04 eV/f.u. The value obtained for the calculated total energy is -7.26 eV per atom. As for the magnetic moment: 0.000 μB/atom. As for the space-group type: C2/m.

Cell lengths 6.7681, 6.7681, 7.7803 Å; angles 116.03, 116.03, 60.00 degrees
Last column: nearest neighbours and their distance in Å.
Positions (direct):
Ta (0.0000, 0.0000, 0.0000)  6 S 2.48
Nb (0.0000, 0.5000, 0.0000)  6 S 2.49-2.50
Nb (0.5000, 0.0000, 0.0000)  6 S 2.49-2.50
Nb (0.5000, 0.5000, 0.0000)  6 S 2.49-2.50
S (0.2426, 0.2426, 0.2300)  1 Ta 2.48, 2 Nb 2.50
S (0.2426, 0.7467, 0.2300)  1 Ta 2.48, 2 Nb 2.50
S (0.2533, 0.7574, 0.7700)  1 Ta 2.48, 2 Nb 2.50
S (0.2556, 0.2556, 0.7688)  3 Nb 2.49
S (0.7444, 0.7444, 0.2312)  3 Nb 2.49
S (0.7467, 0.2426, 0.2300)  1 Ta 2.48, 2 Nb 2.50
S (0.7574, 0.2533, 0.7700)  1 Ta 2.48, 2 Nb 2.50
S (0.7574, 0.7574, 0.7700)  1 Ta 2.48, 2 Nb 2.50